First-principles (PBE) data for a relaxed structure of HPtW, as listed in Alexandria.

It has space group P-1 (No. 2), with a = 2.8707 Å, b = 4.9911 Å, c = 5.4888 Å, α = 115.22°, β = 105.14° and γ = 90.03°. Symmetry generates all atoms from H at (0.2371, 0.3138, 0.4758), Pt at (0.1150, 0.7854, 0.2288) and W at (0.3862, 0.7244, 0.7722).

The total moment is 0.0000 μB/atom. As for the total energy: -44.522 eV per cell. The value obtained for the density of states at the Fermi level is 2.79 states/eV/cell. The calculation puts the volume at 11.35 A^3/atom.

---

First-principles (PBE) data for a relaxed structure of CaCrMo, as listed in Alexandria.

It has space group P3m1 (No. 156), with a = 3.1658 Å, b = 3.1658 Å, c = 6.8333 Å, α = 90.00°, β = 90.00° and γ = 120.00°. Symmetry generates all atoms from Ca at (0.0000, 0.0000, 0.0000), Cr at (0.6667, 0.3333, 0.3808) and Mo at (0.3333, 0.6667, 0.6010).

The total moment is 0.0000 μB/atom. As for the distance to the lowest polymorph of the same formula: 0.2114 eV per atom. The value obtained for the density of states at the Fermi level is 3.60 states/eV/cell. The calculation puts the volume at 19.77 A^3/atom.

---

First-principles (PBE) data for a relaxed structure of LaCd3Au, as listed in Alexandria.

It has space group P6_3/mmc (No. 194), with a = 7.0749 Å, b = 7.0749 Å, c = 5.8420 Å, α = 90.00°, β = 90.00° and γ = 120.00°. Symmetry generates all atoms from La at (0.3333, 0.6667, 0.2500), Cd at (0.1939, 0.3878, 0.7500) and Au at (0.0000, 0.0000, 0.0000).

The total moment is 0.0000 μB/atom. As for the distance to the lowest polymorph of the same formula: 0.1206 eV per atom. The value obtained for the density of states at the Fermi level is 3.71 states/eV/cell. The calculation puts the volume at 25.32 A^3/atom.

---

First-principles (PBE) data for a relaxed structure of Pa2HBr6, as listed in Alexandria.

It has space group R3 (No. 146, hexagonal axes), with a = 7.3925 Å, b = 7.3925 Å, c = 20.5514 Å, α = 90.00°, β = 90.00° and γ = 120.00°. Symmetry generates all atoms from Pa at (0.0000, 0.0000, 0.0000), Pa at (0.0000, 0.0000, 0.3563), H at (0.0000, 0.0000, 0.4540), Br at (0.0312, 0.3393, 0.7474) and Br at (0.0361, 0.6862, 0.9289).

The total moment is 0.3333 μB/atom. As for the total energy: -127.665 eV per cell. The value obtained for the density of states at the Fermi level is 38.43 states/eV/cell. The calculation puts the volume at 36.02 A^3/atom.

---

First-principles (PBE) data for a relaxed structure of Ca2Pr15Ho2, as listed in Alexandria.

It has space group R-3m (No. 166, hexagonal axes), with a = 11.7577 Å, b = 11.7577 Å, c = 17.9826 Å, α = 90.00°, β = 90.00° and γ = 120.00°. Symmetry generates all atoms from Ca at (0.0000, 0.0000, 0.1708), Pr at (0.0000, 0.2934, 0.5000), Pr at (0.0000, 0.5000, 0.0000), Pr at (0.0069, 0.5035, 0.6400) and Ho at (0.0000, 0.0000, 0.4055).

The total moment is 0.0000 μB/atom. As for the total energy: -242.027 eV per cell. The value obtained for the density of states at the Fermi level is 83.11 states/eV/cell. The calculation puts the volume at 37.77 A^3/atom.